Entry 1:
The following is a PBE calculation of crystalline Tm4GaPt at its relaxed geometry, from Alexandria.

Cell and atoms, written as extended XYZ:
```
12
Lattice="2.5924 -10.0804 0.0000 2.5924 10.0804 0.0000 0.0000 0.0000 6.2563" Properties=species:S:1:pos:R:3 pbc="T T T"
Tm 2.5924 8.9789 3.1281
Tm 2.5924 6.1427 4.7510
Tm 2.5924 5.9851 1.6918
Tm 2.5924 2.2799 3.2970
Tm 2.5924 -2.2799 0.1689
Tm 2.5924 -5.9851 4.8200
Tm 2.5924 -6.1427 1.6228
Tm 2.5924 -8.9789 0.0000
Ga 2.5924 3.2698 0.0921
Ga 2.5924 -3.2698 3.2202
Pt 2.5924 8.4560 0.0218
Pt 2.5924 -8.4560 3.1499
```

Calculated values
total magnetic moment = 0.000 μB/f.u.
energy relative to the elements = -492 meV per atom
ρ = 9.55 g cm⁻³
space-group type = Cmc2_1 (36)
N(E_F) = 1.049 states/eV per atom

Entry 2:
The following is a PBE calculation of crystalline TmGa2Pt3 at its relaxed geometry, from Alexandria.

Cell and atoms, written as extended XYZ:
```
12
Lattice="4.4004 0.0000 0.0000 -2.2002 3.8108 0.0000 0.0000 0.0000 12.2627" Properties=species:S:1:pos:R:3 pbc="T T T"
Tm 0.0000 0.0000 3.0657
Tm 0.0000 0.0000 9.1970
Ga 0.0000 2.5405 1.0724
Ga 0.0000 2.5405 5.0589
Ga 2.2002 1.2703 7.2037
Ga 2.2002 1.2703 11.1903
Pt 0.0000 0.0000 0.0000
Pt 0.0000 0.0000 6.1313
Pt 0.0000 2.5405 7.6919
Pt 0.0000 2.5405 10.7021
Pt 2.2002 1.2703 1.5605
Pt 2.2002 1.2703 4.5708
```

Calculated values
total magnetic moment = 0.000 μB/f.u.
energy relative to the elements = -979 meV per atom
ρ = 14.43 g cm⁻³
space-group type = P6_3/mmc (194)
N(E_F) = 0.255 states/eV per atom

Entry 3:
The following is a PBE calculation of crystalline TmGaPt6 at its relaxed geometry, from Alexandria.

Cell and atoms, written as extended XYZ:
```
8
Lattice="4.0482 0.0000 0.0000 0.0000 4.0482 0.0000 0.0000 0.0000 7.9443" Properties=species:S:1:pos:R:3 pbc="T T T"
Tm 0.0000 0.0000 0.0000
Ga 0.0000 0.0000 3.9721
Pt 0.0000 2.0241 2.0798
Pt 0.0000 2.0241 5.8645
Pt 2.0241 0.0000 2.0798
Pt 2.0241 0.0000 5.8645
Pt 2.0241 2.0241 0.0000
Pt 2.0241 2.0241 3.9721
```

Calculated values
total magnetic moment = 0.000 μB/f.u.
energy relative to the elements = -761 meV per atom
ρ = 17.97 g cm⁻³
space-group type = P4/mmm (123)
N(E_F) = 0.895 states/eV per atom

Copy entry 2 word for word.
The following is a PBE calculation of crystalline TmGa2Pt3 at its relaxed geometry, from Alexandria.

Cell and atoms, written as extended XYZ:
```
12
Lattice="4.4004 0.0000 0.0000 -2.2002 3.8108 0.0000 0.0000 0.0000 12.2627" Properties=species:S:1:pos:R:3 pbc="T T T"
Tm 0.0000 0.0000 3.0657
Tm 0.0000 0.0000 9.1970
Ga 0.0000 2.5405 1.0724
Ga 0.0000 2.5405 5.0589
Ga 2.2002 1.2703 7.2037
Ga 2.2002 1.2703 11.1903
Pt 0.0000 0.0000 0.0000
Pt 0.0000 0.0000 6.1313
Pt 0.0000 2.5405 7.6919
Pt 0.0000 2.5405 10.7021
Pt 2.2002 1.2703 1.5605
Pt 2.2002 1.2703 4.5708
```

Calculated values
total magnetic moment = 0.000 μB/f.u.
energy relative to the elements = -979 meV per atom
ρ = 14.43 g cm⁻³
space-group type = P6_3/mmc (194)
N(E_F) = 0.255 states/eV per atom